Here is a relaxed structure of Li3Co4O8 from Alexandria via LeMat-Bulk. Energies are from PBE+U. Values from VASP.

Summary:
Distance to the lowest polymorph of the same formula ... 0.033 eV/atom
Symmetry ... No. 166
E ... -5.67 eV per atom

```
&SYSTEM
  ibrav = 0, nat = 15, ntyp = 3
/
ATOMIC_SPECIES
Li 6.94 Li.upf
Co 58.93 Co.upf
O 16.00 O.upf
ATOMIC_POSITIONS angstrom
Li -1.426 -0.823 4.614
Li -1.426 0.823 9.227
Li 0.000 1.646 4.614
Co 0.000 0.000 0.000
Co -2.851 0.000 6.920
Co -1.426 0.823 2.307
Co 1.426 0.823 2.307
O -1.573 -0.908 8.054
O 0.000 -1.816 5.787
O -1.573 0.908 5.787
O 0.000 0.000 3.323
O 0.000 0.000 10.518
O 1.573 -0.908 8.054
O 0.000 1.816 8.054
O 1.573 0.908 5.787
CELL_PARAMETERS angstrom
2.851 1.646 4.614
-2.851 1.646 4.614
0.000 -3.292 4.614
```